{"formula": "BaNaPRh", "functional": "GGA-PBE", "state": "relaxed", "cell": [[4.081, 0.000, 0.000], [0.000, 4.081, 0.000], [0.000, 0.000, 13.266]], "species": ["Ba", "Ba", "Na", "Na", "P", "P", "Rh", "Rh"], "fractional_positions": [[0.250, 0.250, 0.216], [0.750, 0.750, 0.784], [0.250, 0.750, 0.500], [0.750, 0.250, 0.500], [0.250, 0.250, 0.904], [0.750, 0.750, 0.096], [0.250, 0.750, 0.000], [0.750, 0.250, 0.000]], "mass_density_g_cm3": 4.4, "total_energy_ev_per_atom": -4.5923, "e_form_ev_per_atom": -0.592}